# ZrSi2Se

A geometry-optimized ZrSi2Se structure (PBE, the Alexandria database).

Geometry as POSCAR:
```
ZrSi2Se
1.0
-3.7160 3.7160 2.7274
3.7160 -3.7160 2.7274
3.7160 3.7160 -2.7274
Zr Si Se
2 4 2
direct
0.0000 0.0000 0.0000 Zr
0.7500 0.2500 0.5000 Zr
0.1333 0.6250 0.0083 Si
0.3750 0.3833 0.5083 Si
0.6167 0.1250 0.9917 Si
0.8750 0.8667 0.4917 Si
0.2500 0.7500 0.5000 Se
0.5000 0.5000 0.0000 Se
```

Summary:
- Mass density: 4.99 g/cm3
- D(E_F): 0.61 states/eV per atom
- Total energy: -5.67 eV/atom
- Total magnetic moment: 0.00 μB per formula unit